No. 1
Computed, not measured: an optimized crystal structure of CeIr5 at the PBE-GGA level of DFT.

Geometry as POSCAR:
```
CeIr5
1.0
1.4789 -2.5539 4.3587
-2.7076 0.6349 4.4692
-2.9496 -3.9373 1.8723
Ce Ir
1 5
direct
0.0000 0.0000 0.0000
0.7500 0.7500 0.7500
0.3763 0.3763 0.3763
0.3763 0.8711 0.3763
0.8711 0.3763 0.3763
0.3763 0.3763 0.8711
```

Output
Symmetry: F-43m (216)
DFT formation energy (eV per atom): -0.08
Total moment (μB/atom): 0.000

***

No. 2
Computed, not measured: an optimized crystal structure of Tl2TcAs at the PBE-GGA level of DFT.

Geometry as POSCAR:
```
Tl2TcAs
1.0
-1.4319 1.0602 6.7790
-3.7793 -0.8317 5.8441
1.8093 -3.5211 2.5829
As Tl Tc
1 2 1
direct
0.5778 0.5778 0.4223
0.9463 0.9463 0.0535
0.7518 0.7518 0.7482
0.2240 0.2240 0.2761
```

Output
Symmetry: Imm2 (44)
E above lowest polymorph (meV/atom): 187.3
DFT formation energy (eV per atom): 0.30
Total moment (μB/atom): 0.000

***

No. 3
Computed, not measured: an optimized crystal structure of Cu3SnOs at the PBE-GGA level of DFT.

Geometry as POSCAR:
```
Cu3SnOs
1.0
4.6737 0.0000 0.0000
0.0000 4.6737 0.0000
0.0000 0.0000 4.6737
Os Sn Cu
1 1 3
direct
0.0000 0.0000 0.0000
0.5000 0.5000 0.5000
0.0000 0.5000 0.0000
0.0000 0.0000 0.5000
0.5000 0.0000 0.0000
```

Output
Symmetry: Pm-3m (221)
E above lowest polymorph (meV/atom): 0.0
DFT formation energy (eV per atom): 1.13
Total moment (μB/atom): 0.000

***

No. 4
Computed, not measured: an optimized crystal structure of KReI3 at the PBE-GGA level of DFT.

Geometry as POSCAR:
```
KReI3
1.0
5.6926 0.0000 0.0000
0.0000 5.6926 0.0000
0.0000 0.0000 5.6926
I Re K
3 1 1
direct
0.0000 0.5000 0.0000
0.0000 0.0000 0.5000
0.5000 0.0000 0.0000
0.0000 0.0000 0.0000
0.5000 0.5000 0.5000
```

Output
Symmetry: Pm-3m (221)
E above lowest polymorph (meV/atom): 0.0
Formation energy from raw total energies (kJ per mole of atoms): 3
Total moment (μB/atom): 0.664

***

No. 5
Computed, not measured: an optimized crystal structure of LiAl6Co5 at the PBE-GGA level of DFT.

Geometry as POSCAR:
```
LiAl6Co5
1.0
-3.5730 1.8945 -0.5594
-2.7512 -4.8329 1.2049
1.6654 0.6028 6.2202
Co Al Li
5 6 1
direct
0.6651 0.5000 0.3300
0.3334 0.0000 0.6669
0.0000 0.5000 0.0000
0.6666 0.0000 0.3331
0.3349 0.5000 0.6700
0.8306 0.7482 0.6614
0.8306 0.2518 0.6614
0.5000 0.2521 0.0000
0.5000 0.7479 0.0000
0.1694 0.7482 0.3386
0.1694 0.2518 0.3386
0.0000 0.0000 0.0000
```

Output
Symmetry: P2/m (10)
DFT formation energy (eV per atom): -0.52
Total moment (μB/atom): 0.001

***

No. 6
Computed, not measured: an optimized crystal structure of CsZrAsBr2 at the PBE-GGA level of DFT.

Geometry as POSCAR:
```
CsZrAsBr2
1.0
5.6086 0.0000 0.0000
0.0000 5.6086 0.0000
0.0000 0.0000 5.2224
Cs As Br Zr
1 1 2 1
direct
0.5000 0.5000 0.5000
0.0000 0.0000 0.5000
0.0000 0.5000 0.0000
0.5000 0.0000 0.0000
0.0000 0.0000 0.0000
```

Output
Symmetry: P4/mmm (123)
E above lowest polymorph (meV/atom): 0.0
Formation energy from raw total energies (kJ per mole of atoms): -98
Total moment (μB/atom): 0.000

***

No. 7
Computed, not measured: an optimized crystal structure of IrSF at the PBE-GGA level of DFT.

Geometry as POSCAR:
```
IrSF
1.0
3.3674 0.0000 0.0000
-1.6837 2.9163 0.0000
0.0000 0.0000 5.3404
S Ir F
1 1 1
direct
0.0000 0.0000 0.7204
0.6667 0.3333 0.5062
0.3333 0.6667 0.2721
```

Output
Symmetry: P3m1 (156)
E above lowest polymorph (meV/atom): 0.0
Formation energy from raw total energies (kJ per mole of atoms): -79
Total moment (μB/atom): 0.000

***

No. 8
Computed, not measured: an optimized crystal structure of DyGaOs at the PBE-GGA level of DFT.

Geometry as POSCAR:
```
DyGaOs
1.0
-1.3103 -1.9273 -2.7459
-1.4086 -3.0281 2.7976
-2.5916 3.3256 -1.0975
Os Ga Dy
1 1 1
direct
0.1667 0.0000 0.0000
0.1667 0.6667 0.3333
0.6666 0.3333 0.6667
```

Output
Symmetry: P-6m2 (187)
DFT formation energy (eV per atom): -0.31
Total moment (μB/atom): 0.000